[1]
Below is CoCuRu2 after structural relaxation, with properties calculated at the GGA-PBE level.

Values from the calculation:
final energy = -0.53006 Ry per atom
formation energy = 227 meV/atom
total magnetic moment = 1.32 μB per formula unit
distance to the lowest polymorph of the same formula = 2.2 kJ per mole of atoms

Unit cell a=4.572 b=4.572 c=4.479 alpha=80.08 beta=80.08 gamma=33.75
Last column: magnetic moment on the atom in μB.
Atoms (fractional coordinates):
Co 0.498 0.498 0.489  1.17
Cu 0.247 0.247 0.264  0.04
Ru 0.002 0.002 0.988  0.01
Ru 0.752 0.752 0.759  0.12

[2]
Below is CoCuRu2 after structural relaxation, with properties calculated at the GGA-PBE level.

Values from the calculation:
final energy = -0.52507 Ry per atom
formation energy = 295 meV/atom
total magnetic moment = 0.31 μB per formula unit
distance to the lowest polymorph of the same formula = 8.7 kJ per mole of atoms

Unit cell a=4.570 b=4.570 c=4.570 alpha=132.62 beta=132.62 gamma=69.25
Last column: magnetic moment on the atom in μB.
Atoms (fractional coordinates):
Co 0.250 0.750 0.500  0.36
Cu 0.750 0.250 0.500  0.01
Ru 0.000 0.000 0.000  -0.02
Ru 0.500 0.500 0.000  -0.02